The following is a PBE-GGA calculation of an optimized crystal structure of La4CdAu2, from the Alexandria database.

The space group is Cmcm (No. 63) and the conventional cell measures 5.403, 9.363 and 16.590 Å, with angles of 90.00, 90.00 and 90.00 degrees. Symmetry generates all atoms from La at (0.000, 0.000, 0.000), La at (0.000, 0.333, 0.131), La at (0.000, 0.334, 0.750), Cd at (0.000, 0.001, 0.750) and Au at (0.000, 0.334, 0.561).

The magnetization comes out at 0.00 μB/f.u. The calculation puts the total energy at -4.401 eV per atom. As for the energy above the most stable polymorph in this dataset: 0 meV per atom. As for the formation energy: -50.03 kJ per mole of atoms. Its calculated volume is 839.27 Å³ per cell.

=====

The following is a PBE-GGA calculation of an optimized crystal structure of Tb2YGe2, from the Alexandria database.

The space group is C2/m (No. 12) and the conventional cell measures 12.316, 4.385 and 10.511 Å, with angles of 90.00, 116.92 and 90.00 degrees. Symmetry generates all atoms from Tb at (0.017, 0.000, 0.187), Tb at (0.181, 0.000, 0.585), Y at (0.218, 0.500, 0.857), Ge at (0.029, 0.500, 0.393) and Ge at (0.117, 0.500, 0.064).

The magnetization comes out at 0.00 μB/f.u. The calculation puts the total energy at -5.682 eV per atom. As for the energy above the most stable polymorph in this dataset: 105 meV per atom. As for the formation energy: -66.63 kJ per mole of atoms. Its calculated volume is 506.17 Å³ per cell.

=====

The following is a PBE-GGA calculation of an optimized crystal structure of SrSc2Cl, from the Alexandria database.

The space group is C2/m (No. 12) and the conventional cell measures 6.064, 13.672 and 3.585 Å, with angles of 90.00, 126.26 and 90.00 degrees. Symmetry generates all atoms from Sr at (0.000, 0.000, 0.000), Sc at (0.250, 0.250, 0.500) and Cl at (0.000, 0.500, 0.000).

The magnetization comes out at 0.02 μB/f.u. The calculation puts the total energy at -4.341 eV per atom. As for the energy above the most stable polymorph in this dataset: 284 meV per atom. For the uncorrected formation energy, the calculation gives -1.171 eV per formula unit. Its calculated volume is 239.67 Å³ per cell.

=====

The following is a PBE-GGA calculation of an optimized crystal structure of PaSiAs, from the Alexandria database.

The space group is P-3m1 (No. 164) and the conventional cell measures 4.1091, 4.1091 and 9.6867 Å, with angles of 90.00, 90.00 and 120.00 degrees. Symmetry generates all atoms from Pa at (0.0000, 0.0000, 0.2033), Si at (0.3333, 0.6667, 0.9901) and As at (0.3333, 0.6667, 0.3590).

The magnetization comes out at 0.00 μB/f.u. The calculation puts the total energy at -6.954 eV per atom. As for the energy above the most stable polymorph in this dataset: 201 meV per atom. For the uncorrected formation energy, the calculation gives -1.295 eV per formula unit. Its calculated volume is 141.64 Å³ per cell.

=====

The following is a PBE-GGA calculation of an optimized crystal structure of TmZrPd14, from the Alexandria database.

The space group is P4/mmm (No. 123) and the conventional cell measures 5.703, 5.703 and 7.943 Å, with angles of 90.00, 90.00 and 90.00 degrees. Symmetry generates all atoms from Tm at (0.000, 0.000, 0.000), Zr at (0.500, 0.500, 0.000), Pd at (0.000, 0.000, 0.500), Pd at (0.000, 0.500, 0.000), Pd at (0.000, 0.500, 0.500), Pd at (0.253, 0.253, 0.253) and Pd at (0.500, 0.500, 0.500).

The magnetization comes out at 0.00 μB/f.u. The calculation puts the total energy at -5.783 eV per atom. As for the formation energy: -41.11 kJ per mole of atoms. Its calculated volume is 258.35 Å³ per cell.

=====

The following is a PBE-GGA calculation of an optimized crystal structure of Zn2TeW, from the Alexandria database.

The space group is Cm (No. 8) and the conventional cell measures 9.406, 3.178 and 4.901 Å, with angles of 90.00, 96.91 and 90.00 degrees. Symmetry generates all atoms from Zn at (0.000, 0.000, 0.000), Zn at (0.241, 0.000, 0.797), Te at (0.277, 0.500, 0.336) and W at (0.003, 0.500, 0.528).

The magnetization comes out at 0.00 μB/f.u. The calculation puts the total energy at -4.184 eV per atom. For the uncorrected formation energy, the calculation gives 1.905 eV per formula unit. Its calculated volume is 145.43 Å³ per cell.

=====

The following is a PBE-GGA calculation of an optimized crystal structure of LaHf2Tc2, from the Alexandria database.

The space group is P4/mbm (No. 127) and the conventional cell measures 7.951, 7.951 and 3.282 Å, with angles of 90.00, 90.00 and 90.00 degrees. Symmetry generates all atoms from La at (0.000, 0.000, 0.000), Hf at (0.139, 0.361, 0.500) and Tc at (0.149, 0.649, 0.000).

The magnetization comes out at 0.00 μB/f.u. The calculation puts the total energy at -9.193 eV per atom. As for the energy above the most stable polymorph in this dataset: 9 meV per atom. As for the formation energy: -7.68 kJ per mole of atoms. Its calculated volume is 207.50 Å³ per cell.

=====

The following is a PBE-GGA calculation of an optimized crystal structure of SrOsS2Cl, from the Alexandria database.

The space group is P4/mmm (No. 123) and the conventional cell measures 5.615, 5.615 and 5.400 Å, with angles of 90.00, 90.00 and 90.00 degrees. Symmetry generates all atoms from Sr at (0.000, 0.000, 0.000), Os at (0.500, 0.500, 0.500), S at (0.000, 0.500, 0.000) and Cl at (0.000, 0.000, 0.500).

The magnetization comes out at 6.49 μB/f.u. The calculation puts the total energy at -3.556 eV per atom. As for the energy above the most stable polymorph in this dataset: 1648 meV per atom. For the uncorrected formation energy, the calculation gives 5.231 eV per formula unit. Its calculated volume is 170.24 Å³ per cell.

=====

The following is a PBE-GGA calculation of an optimized crystal structure of LiY3Mg, from the Alexandria database.

The space group is Pm-3m (No. 221) and the conventional cell measures 5.375, 5.375 and 5.375 Å, with angles of 90.00, 90.00 and 90.00 degrees. Symmetry generates all atoms from Li at (0.000, 0.000, 0.000), Y at (0.000, 0.000, 0.500) and Mg at (0.500, 0.500, 0.500).

The magnetization comes out at 2.94 μB/f.u. The calculation puts the total energy at -4.116 eV per atom. As for the energy above the most stable polymorph in this dataset: 0 meV per atom. As for the formation energy: 44.83 kJ per mole of atoms. Its calculated volume is 155.25 Å³ per cell.

=====

The following is a PBE-GGA calculation of an optimized crystal structure of Nd4YTl, from the Alexandria database.

The space group is P4/mmm (No. 123) and the conventional cell measures 3.697, 3.697 and 14.557 Å, with angles of 90.00, 90.00 and 90.00 degrees. Symmetry generates all atoms from Nd at (0.000, 0.000, 0.148), Nd at (0.500, 0.500, 0.326), Y at (0.000, 0.000, 0.500) and Tl at (0.500, 0.500, 0.000).

The magnetization comes out at 0.00 μB/f.u. The calculation puts the total energy at -4.754 eV per atom. As for the energy above the most stable polymorph in this dataset: 0 meV per atom. As for the formation energy: -10.01 kJ per mole of atoms. Its calculated volume is 198.93 Å³ per cell.

=====

The following is a PBE-GGA calculation of an optimized crystal structure of AlP2Pb, from the Alexandria database.

The space group is P4/mmm (No. 123) and the conventional cell measures 4.835, 4.835 and 3.365 Å, with angles of 90.00, 90.00 and 90.00 degrees. Symmetry generates all atoms from Al at (0.000, 0.000, 0.000), P at (0.000, 0.500, 0.500) and Pb at (0.500, 0.500, 0.000).

The magnetization comes out at 0.00 μB/f.u. The calculation puts the total energy at -4.121 eV per atom. As for the energy above the most stable polymorph in this dataset: 549 meV per atom. As for the formation energy: 43.11 kJ per mole of atoms. Its calculated volume is 78.67 Å³ per cell.

=====

The following is a PBE-GGA calculation of an optimized crystal structure of Ca3ReS, from the Alexandria database.

The space group is Pm-3m (No. 221) and the conventional cell measures 5.322, 5.322 and 5.322 Å, with angles of 90.00, 90.00 and 90.00 degrees. Symmetry generates all atoms from Ca at (0.000, 0.000, 0.500), Re at (0.000, 0.000, 0.000) and S at (0.500, 0.500, 0.500).

The magnetization comes out at 0.00 μB/f.u. The calculation puts the total energy at -4.065 eV per atom. As for the energy above the most stable polymorph in this dataset: 280 meV per atom. For the uncorrected formation energy, the calculation gives 2.254 eV per formula unit. Its calculated volume is 150.78 Å³ per cell.